# 1
CeTh3Pb2: optimized geometry, PBE-GGA.

abc: 4.5377 4.5377 9.1826
angles: 90.00 90.00 90.00
With the nearest neighbours (Å) after each atom.
Positions (direct):
Ce 0.0000 0.0000 0.0000  4 Th 3.21, 4 Pb 3.38
Th 0.0000 0.5000 0.3654  5 Pb 3.32
Th 0.5000 0.0000 0.6346  5 Pb 3.32
Th 0.5000 0.5000 0.0000  4 Ce 3.21, 4 Pb 3.38
Pb 0.0000 0.5000 0.7270  7 Th 3.32-3.38, 2 Ce 3.38
Pb 0.5000 0.0000 0.2730  7 Th 3.32-3.38, 2 Ce 3.38

The value obtained for the electronic total energy is -6.142 eV per atom.

# 2
Rb2BIrCl6: optimized geometry, PBE-GGA.

abc: 7.0350 7.0350 7.0350
angles: 120.32 120.32 89.44
With the nearest neighbours (Å) after each atom.
Positions (direct):
Rb 0.2500 0.7500 0.5000  12 Cl 3.50-3.52
Rb 0.7500 0.2500 0.5000  12 Cl 3.50-3.52
B 0.0000 0.0000 0.0000  6 Cl 2.55-2.60
Ir 0.5000 0.5000 0.0000  6 Cl 2.40
Cl 0.2578 0.2578 0.5155  1 Ir 2.40, 1 B 2.55
Cl 0.2578 0.7422 0.0000  1 Ir 2.40, 1 B 2.55
Cl 0.2603 0.2603 0.0000  1 Ir 2.40, 1 B 2.60
Cl 0.7397 0.7397 0.0000  1 Ir 2.40, 1 B 2.60
Cl 0.7422 0.2578 0.0000  1 Ir 2.40, 1 B 2.55
Cl 0.7422 0.7422 0.4845  1 Ir 2.40, 1 B 2.55

The calculation puts the formation energy (no corrections) at -65.8 kJ/mol of atoms.

# 3
LiTaMn2: optimized geometry, PBE-GGA.

abc: 2.5651 4.1208 4.9731
angles: 90.00 99.51 90.00
With the nearest neighbours (Å) after each atom.
Positions (direct):
Li 0.0000 0.0000 0.0000  4 Mn 2.50, 2 Li 2.57, 2 Ta 2.60
Ta 0.5000 0.0000 0.5000  2 Ta 2.57, 4 Mn 2.59, 2 Li 2.60
Mn 0.2708 0.5000 0.7721  3 Mn 2.37-2.57, 2 Li 2.50, 2 Ta 2.59
Mn 0.7292 0.5000 0.2279  3 Mn 2.37-2.57, 2 Li 2.50, 2 Ta 2.59

The value obtained for the electronic total energy is -7.665 eV per atom.

# 4
YBe2Sb: optimized geometry, PBE-GGA.

abc: 3.9986 4.1623 4.8538
angles: 90.00 90.00 90.00
With the nearest neighbours (Å) after each atom.
Positions (direct):
Y 0.0000 0.0000 0.0000  8 Be 3.06, 4 Sb 3.20
Be 0.5000 0.5000 0.2070  1 Be 2.01
Be 0.5000 0.5000 0.7930  1 Be 2.01
Sb 0.0000 0.5000 0.5000  4 Be 2.45

The calculation puts the formation energy (no corrections) at -4.1 kJ/mol of atoms.

# 5
Li2ScW: optimized geometry, PBE-GGA.

abc: 2.9324 2.9324 30.3328
angles: 90.00 90.00 120.00
With the nearest neighbours (Å) after each atom.
Positions (direct):
Li 0.0000 0.0000 0.0000  3 W 2.93, 9 Li 2.93-3.12
Li 0.0000 0.0000 0.2471  9 Li 2.93-3.12, 3 Sc 3.23
Li 0.3333 0.6667 0.6667  3 W 2.93, 9 Li 2.93-3.12
Li 0.3333 0.6667 0.9138  9 Li 2.93-3.12, 3 Sc 3.23
Li 0.6667 0.3333 0.3333  3 W 2.93, 9 Li 2.93-3.12
Li 0.6667 0.3333 0.5804  9 Li 2.93-3.12, 3 Sc 3.23
Sc 0.0000 0.0000 0.4896  3 W 2.90, 6 Sc 2.93, 3 Li 3.23
Sc 0.3333 0.6667 0.1563  3 W 2.90, 6 Sc 2.93, 3 Li 3.23
Sc 0.6667 0.3333 0.8230  3 W 2.90, 6 Sc 2.93, 3 Li 3.23
W 0.0000 0.0000 0.7454  3 Sc 2.90, 3 Li 2.93, 6 W 2.93
W 0.3333 0.6667 0.4121  3 Sc 2.90, 3 Li 2.93, 6 W 2.93
W 0.6667 0.3333 0.0788  3 Sc 2.90, 3 Li 2.93, 6 W 2.93

The value obtained for the electronic total energy is -5.437 eV per atom.

# 6
TaReS2Cl: optimized geometry, PBE-GGA.

abc: 4.5778 4.5778 4.8441
angles: 90.00 90.00 90.00
With the nearest neighbours (Å) after each atom.
Positions (direct):
Ta 0.0000 0.0000 0.0000  4 Cl 3.24, 8 S 3.33
Re 0.5000 0.5000 0.5000  4 S 2.29, 2 Cl 2.42
S 0.0000 0.5000 0.5000  2 Re 2.29
S 0.5000 0.0000 0.5000  2 Re 2.29
Cl 0.5000 0.5000 0.0000  2 Re 2.42

The calculation puts the formation energy (no corrections) at 96.2 kJ/mol of atoms.